Entry 1:
Below is Sc8Cd2In after structural relaxation, with properties calculated at the PBE level.

The distance to the lowest polymorph of the same formula is 0.137 eV/atom. The space group is No. 12. The total moment comes out at 1.24 μB/f.u. The formation enthalpy at 0 K is -0.0516 eV/atom.

Geometry as POSCAR:
```
Sc8Cd2In
1.0
4.1072 -7.0398 0.0000
4.1072 7.0398 0.0000
-2.1115 0.0000 4.6028
Sc Cd In
8 2 1
Cartesian
0.4129 1.5713 2.8786
4.1072 4.0078 0.0000
0.4129 -1.5713 2.8786
2.8932 0.0000 0.9257
3.2098 0.0000 3.6771
5.6900 1.5713 1.7243
4.1072 -4.0078 0.0000
5.6900 -1.5713 1.7243
3.0515 2.7398 2.3014
3.0515 -2.7398 2.3014
0.0000 0.0000 0.0000
```

***

Entry 2:
Below is MgTi3Nb after structural relaxation, with properties calculated at the PBE level.

The distance to the lowest polymorph of the same formula is 0.000 eV/atom. The space group is No. 221. The total moment comes out at 0.01 μB/f.u. The formation enthalpy at 0 K is 0.8673 eV/atom.

Geometry as POSCAR:
```
MgTi3Nb
1.0
4.8431 0.0000 0.0000
0.0000 4.8431 0.0000
0.0000 0.0000 4.8431
Mg Ti Nb
1 3 1
Cartesian
0.0000 0.0000 0.0000
0.0000 2.4216 2.4216
2.4216 0.0000 2.4216
2.4216 2.4216 0.0000
2.4216 2.4216 2.4216
```

***

Entry 3:
Below is BaHgAs2 after structural relaxation, with properties calculated at the PBE level.

The space group is No. 123. The total moment comes out at 0.00 μB/f.u. The formation enthalpy at 0 K is -0.2727 eV/atom.

Geometry as POSCAR:
```
BaHgAs2
1.0
4.8408 0.0000 0.0000
0.0000 4.8408 0.0000
0.0000 0.0000 4.5835
Ba Hg As
1 1 2
Cartesian
0.0000 0.0000 0.0000
2.4204 2.4204 0.0000
0.0000 2.4204 2.2917
2.4204 0.0000 2.2917
```

***

Entry 4:
Below is Pm12ErAl3 after structural relaxation, with properties calculated at the PBE level.

The space group is No. 123. The total moment comes out at 0.00 μB/f.u. The formation enthalpy at 0 K is -0.1158 eV/atom.

Geometry as POSCAR:
```
Pm12ErAl3
1.0
4.9020 0.0000 0.0000
0.0000 4.9020 0.0000
0.0000 0.0000 19.9545
Pm Er Al
12 1 3
Cartesian
0.0000 0.0000 0.0000
0.0000 0.0000 4.8611
0.0000 0.0000 9.9772
0.0000 0.0000 15.0933
0.0000 2.4510 2.4360
0.0000 2.4510 7.3057
0.0000 2.4510 12.6487
0.0000 2.4510 17.5185
2.4510 0.0000 2.4360
2.4510 0.0000 7.3057
2.4510 0.0000 12.6487
2.4510 0.0000 17.5185
2.4510 2.4510 9.9772
2.4510 2.4510 0.0000
2.4510 2.4510 4.8442
2.4510 2.4510 15.1102
```

***

Entry 5:
Below is SrHf2Br2 after structural relaxation, with properties calculated at the PBE level.

The distance to the lowest polymorph of the same formula is 0.484 eV/atom. The space group is No. 127. The calculation puts the formation energy without anion corrections at 238 meV per atom. The total moment comes out at 0.00 μB/f.u.

Geometry as POSCAR:
```
SrHf2Br2
1.0
8.4607 0.0000 0.0000
0.0000 8.4607 0.0000
0.0000 0.0000 3.3748
Sr Hf Br
2 4 4
Cartesian
0.0000 0.0000 0.0000
4.2303 4.2303 0.0000
1.4082 2.8221 1.6874
2.8221 7.0524 1.6874
5.6386 1.4082 1.6874
7.0524 5.6386 1.6874
1.1700 5.4003 0.0000
3.0603 1.1700 0.0000
5.4003 7.2907 0.0000
7.2907 3.0603 0.0000
```

***

Entry 6:
Below is La8Tb2Al after structural relaxation, with properties calculated at the PBE level.

The space group is No. 12. The total moment comes out at 0.00 μB/f.u. The formation enthalpy at 0 K is -0.0330 eV/atom.

Geometry as POSCAR:
```
La8Tb2Al
1.0
9.2770 -2.5227 0.0000
9.2770 2.5227 0.0000
-2.2308 0.0000 7.8923
La Tb Al
8 2 1
Cartesian
0.2756 0.0000 1.9044
0.9767 0.0000 5.3236
4.7391 0.0000 4.6655
7.4932 0.0000 0.4420
8.8301 0.0000 7.4503
11.5842 0.0000 3.2268
15.3465 0.0000 2.5686
16.0477 0.0000 5.9878
3.9032 0.0000 1.0631
12.4201 0.0000 6.8292
8.1616 0.0000 3.9461
```

***

Entry 7:
Below is ReSeO2 after structural relaxation, with properties calculated at the PBE level.

The distance to the lowest polymorph of the same formula is 0.297 eV/atom. The space group is No. 122. The calculation puts the formation energy without anion corrections at -313 meV per atom. The total moment comes out at 1.03 μB/f.u.

Geometry as POSCAR:
```
ReSeO2
1.0
-3.0004 3.0004 4.2457
3.0004 -3.0004 4.2457
3.0004 3.0004 -4.2457
Re Se O
2 2 4
Cartesian
0.0000 0.0000 0.0000
0.0000 3.0004 2.1229
3.0004 0.0000 2.1229
0.0000 0.0000 4.2457
0.0062 1.5002 1.0614
-1.5002 2.9942 3.1843
-0.0062 4.5006 1.0614
1.5002 3.0066 3.1843
```

***

Entry 8:
Below is ZnGa3O after structural relaxation, with properties calculated at the PBE level.

The distance to the lowest polymorph of the same formula is 0.000 eV/atom. The space group is No. 221. The calculation puts the formation energy without anion corrections at -105 meV per atom. The total moment comes out at 0.00 μB/f.u.

Geometry as POSCAR:
```
ZnGa3O
1.0
4.4529 0.0000 0.0000
0.0000 4.4529 0.0000
0.0000 0.0000 4.4529
Zn Ga O
1 3 1
Cartesian
0.0000 0.0000 0.0000
0.0000 2.2264 2.2264
2.2264 0.0000 2.2264
2.2264 2.2264 0.0000
2.2264 2.2264 2.2264
```